# 1
Compound: Pr4PtSe3
Source: the Alexandria database
Functional: GGA-PBE
Structure: relaxed

Cell lengths 6.0433, 6.0433, 6.0433 Å; angles 90.00, 90.00, 90.00 degrees
Space group Pm-3m (No. 221)
Unique sites:
1 Pr 0.0000 0.0000 0.0000
2 Pr 0.0000 0.5000 0.5000
3 Pt 0.5000 0.5000 0.5000
4 Se 0.0000 0.0000 0.5000

Properties
- Relative energy among the computed polymorphs: 0.0371 eV per atom
- Calculated volume: 27.59 Å³ per atom
- Fermi-level density of states: 7.7 states/eV per cell
- ΔE_f (raw): -1.62 eV/atom

=====

# 2
Compound: K2CrNiS4
Source: the Alexandria database
Functional: GGA-PBE
Structure: relaxed

Cell lengths 5.2266, 12.9887, 22.8634 Å; angles 90.00, 90.00, 90.00 degrees
Space group Fddd (No. 70, origin choice 2)
Unique sites:
1 K 0.1250 0.1250 0.3031
2 Cr 0.1250 0.1250 0.1250
3 Ni 0.1250 0.1250 0.6250
4 S 0.1127 0.2798 0.4287

Properties
- Calculated volume: 24.25 Å³ per atom
- Fermi-level density of states: 6.9 states/eV per cell
- ΔE_f (raw): -0.89 eV/atom

=====

# 3
Compound: Mg2ScCd2
Source: the Alexandria database
Functional: GGA-PBE
Structure: relaxed

Cell lengths 4.9353, 4.9353, 11.8453 Å; angles 90.00, 90.00, 120.00 degrees
Space group P6_3/mmc (No. 194)
Unique sites:
1 Mg 0.0000 0.0000 0.0000
2 Mg 0.3333 0.6667 0.2500
3 Sc 0.0000 0.0000 0.2500
4 Cd 0.3333 0.6667 0.6213

Properties
- Relative energy among the computed polymorphs: 0.2217 eV per atom
- Calculated volume: 24.99 Å³ per atom
- Formation enthalpy at 0 K: 0.15 eV per atom
- Fermi-level density of states: 7.5 states/eV per cell

=====

# 4
Compound: Th2CuNi3P4
Source: the Alexandria database
Functional: GGA-PBE
Structure: relaxed

Cell lengths 4.1297, 4.1297, 9.0941 Å; angles 90.00, 90.00, 90.00 degrees
Space group P-4m2 (No. 115)
Unique sites:
1 Th 0.0000 0.5000 0.2473
2 Cu 0.0000 0.0000 0.5000
3 Ni 0.0000 0.5000 0.8896
4 Ni 0.5000 0.5000 0.5000
5 P 0.0000 0.0000 0.0000
6 P 0.0000 0.5000 0.6350
7 P 0.5000 0.5000 0.0000

Properties
- Calculated volume: 15.51 Å³ per atom
- Formation enthalpy at 0 K: -0.94 eV per atom
- Fermi-level density of states: 5.2 states/eV per cell

=====

# 5
Compound: FeMoCl2
Source: the Alexandria database
Functional: GGA-PBE
Structure: relaxed

Cell lengths 3.0210, 3.0210, 29.1194 Å; angles 90.00, 90.00, 120.00 degrees
Space group R-3m (No. 166, hexagonal axes)
Unique sites:
1 Fe 0.0000 0.0000 0.0000
2 Mo 0.0000 0.0000 0.5000
3 Cl 0.0000 0.0000 0.2275

Properties
- Relative energy among the computed polymorphs: 0.5515 eV per atom
- Calculated volume: 19.18 Å³ per atom
- Fermi-level density of states: 11.9 states/eV per cell
- ΔE_f (raw): 0.34 eV/atom

=====

# 6
Compound: V5P2W
Source: the Alexandria database
Functional: GGA-PBE
Structure: relaxed

Cell lengths 3.2269, 7.4597, 8.9378 Å; angles 90.00, 90.00, 90.00 degrees
Space group Immm (No. 71)
Unique sites:
1 V 0.0000 0.0000 0.0000
2 V 0.0000 0.3119 0.3468
3 P 0.0000 0.0000 0.2776
4 W 0.0000 0.5000 0.0000

Properties
- Calculated volume: 13.45 Å³ per atom
- Formation enthalpy at 0 K: -0.36 eV per atom
- Fermi-level density of states: 10.9 states/eV per cell

=====

- Which of these has the highest Fermi-level density of states?
  FeMoCl2

=====

- Look up the Fermi-level density of states of the sixth one.
  10.9 states/eV per cell